No. 1
Material: V2ReSnO8
Method: DFT, PBE with a Hubbard U
State: optimized geometry

Cell lengths 4.6630, 4.6630, 6.3412 Å; angles 90.00, 90.00, 90.78 degrees
Atoms (fractional coordinates):
V  0.0000  0.0000  0.2496
V  0.0000  0.0000  0.7504
Re  0.5000  0.5000  0.0000
Sn  0.5000  0.5000  0.5000
O  0.1893  0.1893  0.5000
O  0.2104  0.2104  0.0000
O  0.3047  0.6953  0.2340
O  0.3047  0.6953  0.7660
O  0.6953  0.3047  0.2340
O  0.6953  0.3047  0.7660
O  0.7896  0.7896  0.0000
O  0.8107  0.8107  0.5000

Computed properties:
* calculated volume: 11.489 Å³ per atom
* space group: No. 65
* VASP energy: -7.68 eV/atom



No. 2
Material: VReSnO6
Method: DFT, PBE with a Hubbard U
State: optimized geometry

Cell lengths 5.0772, 5.0772, 9.2932 Å; angles 90.00, 90.00, 120.00 degrees
Atoms (fractional coordinates):
V  0.3333  0.6667  0.2500
V  0.6667  0.3333  0.7500
Re  0.3333  0.6667  0.7500
Re  0.6667  0.3333  0.2500
Sn  0.0000  0.0000  0.0000
Sn  0.0000  0.0000  0.5000
O  0.0080  0.3463  0.6302
O  0.0080  0.6617  0.8698
O  0.3383  0.3463  0.8698
O  0.3383  0.9920  0.6302
O  0.3463  0.0080  0.1302
O  0.3463  0.3383  0.3698
O  0.6537  0.6617  0.6302
O  0.6537  0.9920  0.8698
O  0.6617  0.0080  0.3698
O  0.6617  0.6537  0.1302
O  0.9920  0.3383  0.1302
O  0.9920  0.6537  0.3698

Computed properties:
* calculated volume: 11.526 Å³ per atom
* space group: No. 163
* VASP energy: -7.57 eV/atom